No. 1
The following is a DFT calculation (GGA-PBE) of a geometry-optimized Dy3Ho7 structure.

Cell lengths 10.7010, 10.7010, 6.3552 Å; angles 90.00, 90.00, 120.00 degrees
Last column: nearest neighbours and their distance in Å.
Space group P6_3mc (No. 186)
Inequivalent atoms, fractional coordinates:
1 Dy 0.2078 0.4156 0.0000  8 Ho 3.24-3.48
2 Ho 0.0586 0.5293 0.6488  3 Ho 3.15-3.36, 4 Dy 3.31-3.32
3 Ho 0.1198 0.2397 0.4830  4 Dy 3.35-3.67, 2 Ho 3.63
4 Ho 0.3333 0.6667 0.3559  3 Ho 3.15, 3 Dy 3.24

DOS at the Fermi energy: 1.92 states/eV per atom

***

No. 2
The following is a DFT calculation (GGA-PBE) of a geometry-optimized Dy5Ho3 structure.

Cell lengths 3.6111, 5.5939, 12.5001 Å; angles 90.00, 90.00, 90.00 degrees
Last column: nearest neighbours and their distance in Å.
Space group Pmm2 (No. 25)
Inequivalent atoms, fractional coordinates:
1 Dy 0.0000 0.0000 0.0000  6 Ho 3.49-3.60, 6 Dy 3.49-3.61
2 Dy 0.0000 0.0000 0.4989  8 Dy 3.49-3.62, 4 Ho 3.49-3.61
3 Dy 0.0000 0.5000 0.8324  10 Dy 3.49-3.62, 2 Ho 3.61
4 Dy 0.5000 0.0000 0.7495  12 Dy 3.49-3.62
5 Dy 0.5000 0.5000 0.5816  10 Dy 3.49-3.62, 2 Ho 3.61
6 Ho 0.0000 0.5000 0.3316  8 Ho 3.49-3.61, 4 Dy 3.49-3.61
7 Ho 0.5000 0.0000 0.2491  8 Ho 3.49-3.61, 4 Dy 3.60-3.61
8 Ho 0.5000 0.5000 0.0825  6 Dy 3.49-3.61, 6 Ho 3.49-3.61

DOS at the Fermi energy: 1.58 states/eV per atom

***

Taking the records one at a time from the top gives VASP energy values of -43.87, -36.70 eV per formula unit.
Taking the records one at a time from the top gives energy relative to the elements values of 0.198, 0.006 eV per atom.